No. 1
Al2InMo | PBE | optimized geometry

a = 4.6203 Å, b = 4.6203 Å, c = 4.6203 Å
α = 60.00°, β = 60.00°, γ = 60.00°
Last column: magnetic moment on the atom in μB.
Fractional coordinates of all 4 atoms:
Mo: 0.7500 0.7500 0.7500  0.22
Al: 0.0000 0.0000 0.0000  0.00
Al: 0.2500 0.2500 0.2500  0.00
In: 0.5000 0.5000 0.5000  0.01

Crystal system: cubic
Calculated total energy, eV per atom: -4.808
Magnetization, μB/atom: 0.075



No. 2
TePbAu2 | PBE | optimized geometry

a = 5.1734 Å, b = 5.1734 Å, c = 5.1734 Å
α = 60.00°, β = 60.00°, γ = 60.00°
Fractional coordinates of all 4 atoms:
Au: 0.0000 0.0000 0.0000
Au: 0.2500 0.2500 0.2500
Pb: 0.5000 0.5000 0.5000
Te: 0.7500 0.7500 0.7500

Crystal system: cubic
Calculated total energy, eV per atom: -3.202
Formation energy (no corrections), kcal/mol of atoms: 3.442
Magnetization, μB/atom: 0.000



No. 3
Pr6YEr2Sc | PBE | optimized geometry

a = 9.4983 Å, b = 9.0013 Å, c = 9.0013 Å
α = 117.87°, β = 93.48°, γ = 93.48°
Fractional coordinates of all 20 atoms:
Pr: 0.0502 0.1206 0.7682
Pr: 0.4498 0.2318 0.8794
Pr: 0.9498 0.8794 0.2318
Pr: 0.5502 0.7682 0.1206
Pr: 0.3037 0.0094 0.4412
Pr: 0.1963 0.5588 0.9906
Pr: 0.6963 0.9906 0.5588
Pr: 0.8037 0.4412 0.0094
Pr: 0.1130 0.7092 0.4890
Pr: 0.3870 0.5110 0.2908
Pr: 0.8870 0.2908 0.5110
Pr: 0.6130 0.4890 0.7092
Y: 0.2500 0.9744 0.0256
Y: 0.7500 0.0256 0.9744
Er: 0.4522 0.7956 0.6976
Er: 0.0478 0.3024 0.2044
Er: 0.5478 0.2044 0.3024
Er: 0.9522 0.6976 0.7956
Sc: 0.2500 0.4217 0.5783
Sc: 0.7500 0.5783 0.4217

Crystal system: monoclinic
Calculated total energy, eV per atom: -4.934
Magnetization, μB/atom: 0.000



No. 4
OsICl2 | PBE | optimized geometry

a = 10.9167 Å, b = 10.9167 Å, c = 10.9167 Å
α = 19.03°, β = 19.03°, γ = 19.03°
Fractional coordinates of all 4 atoms:
I: 0.0000 0.0000 0.0000
Os: 0.5000 0.5000 0.5000
Cl: 0.8703 0.8703 0.8703
Cl: 0.1297 0.1297 0.1297

Crystal system: trigonal
Calculated total energy, eV per atom: -3.891
Formation energy (no corrections), kcal/mol of atoms: 5.237
Magnetization, μB/atom: 0.000



No. 5
AlGaPdF2 | PBE | optimized geometry

a = 3.7562 Å, b = 6.4628 Å, c = 3.7562 Å
α = 90.00°, β = 90.00°, γ = 90.00°
Fractional coordinates of all 5 atoms:
F: 0.0000 0.0000 0.5000
F: 0.5000 0.0000 0.0000
Ga: 0.0000 0.0000 0.0000
Pd: 0.5000 0.5000 0.5000
Al: 0.0000 0.5000 0.0000

Crystal system: tetragonal
Calculated total energy, eV per atom: -4.134
Formation energy (no corrections), kcal/mol of atoms: -22.894
Magnetization, μB/atom: 0.000



No. 6
Cs3PrGa2S6 | PBE | optimized geometry

a = 7.5453 Å, b = 7.5453 Å, c = 9.3714 Å
α = 90.00°, β = 90.00°, γ = 120.00°
Fractional coordinates of all 12 atoms:
Cs: 0.3333 0.6667 0.7103
Cs: 0.6667 0.3333 0.2897
Cs: 0.0000 0.0000 0.0000
Pr: 0.0000 0.0000 0.5000
Ga: 0.6667 0.3333 0.6918
Ga: 0.3333 0.6667 0.3082
S: 0.6686 0.8343 0.2992
S: 0.1657 0.3314 0.2992
S: 0.1657 0.8343 0.2992
S: 0.8343 0.6686 0.7008
S: 0.3314 0.1657 0.7008
S: 0.8343 0.1657 0.7008

Crystal system: trigonal
Calculated total energy, eV per atom: -4.352
Formation energy (no corrections), kcal/mol of atoms: -27.024
Magnetization, μB/atom: 0.000



No. 7
TiTlInCl6 | PBE | optimized geometry

a = 7.3926 Å, b = 7.3914 Å, c = 6.2479 Å
α = 89.99°, β = 90.00°, γ = 60.01°
Fractional coordinates of all 9 atoms:
Ti: 0.3333 0.3333 0.5000
Tl: 0.6667 0.6667 0.5000
In: 0.0001 0.0000 0.9999
Cl: 0.0755 0.3266 0.2796
Cl: 0.3266 0.0755 0.7204
Cl: 0.5978 0.3266 0.7204
Cl: 0.0756 0.5978 0.7205
Cl: 0.3266 0.5979 0.2796
Cl: 0.5977 0.0756 0.2795

Crystal system: trigonal
Calculated total energy, eV per atom: -3.949
Formation energy (no corrections), kcal/mol of atoms: -29.376
Magnetization, μB/atom: 0.000



No. 8
SmPuAg4 | PBE | optimized geometry

a = 5.7377 Å, b = 5.7377 Å, c = 5.7377 Å
α = 60.00°, β = 60.00°, γ = 60.00°
Last column: magnetic moment on the atom in μB.
Fractional coordinates of all 6 atoms:
Ag: 0.6250 0.6250 0.1251  0.01
Ag: 0.6250 0.1251 0.6250  0.01
Ag: 0.6250 0.6250 0.6250  0.01
Ag: 0.1251 0.6250 0.6250  0.01
Sm: 0.0000 0.0000 0.0000  0.18
Pu: 0.2500 0.2500 0.2500  5.54

Crystal system: cubic
Calculated total energy, eV per atom: -5.121
Magnetization, μB/atom: 1.048



No. 9
Fe2ReNi | PBE | optimized geometry

a = 2.5942 Å, b = 3.6253 Å, c = 5.0873 Å
α = 90.00°, β = 90.00°, γ = 90.00°
Last column: magnetic moment on the atom in μB.
Fractional coordinates of all 4 atoms:
Fe: 0.0000 0.0000 0.0097  1.50
Fe: 0.0000 0.0000 0.4903  1.50
Ni: 0.5000 0.5000 0.2500  0.34
Re: 0.5000 0.5000 0.7500  -0.36

Crystal system: orthorhombic
Calculated total energy, eV per atom: -8.699
Magnetization, μB/atom: 0.730



No. 10
LaMoAu2C | PBE | optimized geometry

a = 5.1790 Å, b = 4.0529 Å, c = 5.1790 Å
α = 90.00°, β = 90.00°, γ = 90.00°
Fractional coordinates of all 5 atoms:
Mo: 0.0000 0.0000 0.0000
Au: 0.0000 0.0000 0.5000
Au: 0.5000 0.0000 0.0000
C: 0.0000 0.5000 0.0000
La: 0.5000 0.5000 0.5000

Crystal system: tetragonal
Calculated total energy, eV per atom: -5.999
Magnetization, μB/atom: 0.000



No. 11
Tm2SnPd6 | PBE | optimized geometry

a = 3.3203 Å, b = 7.3459 Å, c = 7.9973 Å
α = 117.34°, β = 89.99°, γ = 90.00°
Fractional coordinates of all 9 atoms:
Tm: 0.4996 0.6903 0.3807
Tm: 0.5004 0.3097 0.6193
Sn: 0.0000 0.0000 0.0000
Pd: 0.9995 0.3544 0.3185
Pd: 0.0005 0.0359 0.6815
Pd: 0.0005 0.6456 0.6815
Pd: 0.5000 0.3045 0.0000
Pd: 0.9995 0.9641 0.3185
Pd: 0.5000 0.6955 0.0000

Crystal system: orthorhombic
Calculated total energy, eV per atom: -5.542
Magnetization, μB/atom: 0.000



No. 12
Ho2ThCu9 | PBE | optimized geometry

a = 5.2174 Å, b = 5.2174 Å, c = 16.5364 Å
α = 90.00°, β = 90.00°, γ = 120.00°
Fractional coordinates of all 24 atoms:
Ho: 0.3333 0.6667 0.5360
Ho: 0.6667 0.3333 0.0360
Ho: 0.6667 0.3333 0.4640
Ho: 0.3333 0.6667 0.9640
Th: 0.3333 0.6667 0.7500
Th: 0.6667 0.3333 0.2500
Cu: 0.0000 0.0000 0.0000
Cu: 0.0000 0.0000 0.5000
Cu: 0.0000 0.0000 0.2500
Cu: 0.0000 0.0000 0.7500
Cu: 0.3333 0.6667 0.2500
Cu: 0.6667 0.3333 0.7500
Cu: 0.1669 0.3339 0.1260
Cu: 0.6661 0.8331 0.1260
Cu: 0.1669 0.8331 0.1260
Cu: 0.8331 0.6661 0.6260
Cu: 0.3339 0.1669 0.6260
Cu: 0.8331 0.1669 0.6260
Cu: 0.3339 0.1669 0.8740
Cu: 0.8331 0.6661 0.8740
Cu: 0.8331 0.1669 0.8740
Cu: 0.6661 0.8331 0.3740
Cu: 0.1669 0.3339 0.3740
Cu: 0.1669 0.8331 0.3740

Crystal system: hexagonal
Calculated total energy, eV per atom: -4.633
Magnetization, μB/atom: 0.000



No. 13
Li2HfScO4 | PBE | optimized geometry

a = 4.2730 Å, b = 4.2729 Å, c = 5.4080 Å
α = 113.27°, β = 113.27°, γ = 90.00°
Fractional coordinates of all 8 atoms:
Li: 0.2500 0.7500 0.5000
Li: 0.0000 0.0000 0.0000
Hf: 0.5000 0.5000 0.0000
Sc: 0.7500 0.2500 0.5000
O: 0.9985 0.4985 0.9971
O: 0.5015 0.0015 0.0029
O: 0.7418 0.7418 0.4836
O: 0.2582 0.2582 0.5164

Crystal system: tetragonal
Calculated total energy, eV per atom: -7.794
Formation energy (no corrections), kcal/mol of atoms: -64.590
Magnetization, μB/atom: 0.000



No. 14
InI2Br | PBE | optimized geometry

a = 7.1980 Å, b = 7.3182 Å, c = 8.3504 Å
α = 90.84°, β = 112.76°, γ = 119.41°
Fractional coordinates of all 8 atoms:
In: 0.5835 0.2915 0.8719
In: 0.2488 0.6227 0.8719
I: 0.4261 0.0305 0.1110
I: 0.1151 0.2280 0.6416
I: 0.7730 0.5453 0.6418
I: 0.4402 0.8874 0.6450
Br: 0.6676 0.6450 0.0827
Br: 0.0447 0.3992 0.0826

Crystal system: triclinic
Calculated total energy, eV per atom: -2.463
Formation energy (no corrections), kcal/mol of atoms: -13.493
Magnetization, μB/atom: 0.000



No. 15
Np2Pt17 | PBE | optimized geometry

a = 6.9681 Å, b = 6.9680 Å, c = 6.9681 Å
α = 83.37°, β = 83.37°, γ = 83.37°
Last column: magnetic moment on the atom in μB.
Fractional coordinates of all 19 atoms:
Np: 0.6680 0.6680 0.6680  3.57
Np: 0.3320 0.3320 0.3320  3.57
Pt: 0.3479 0.3479 0.8372  -0.07
Pt: 0.3479 0.8372 0.3479  -0.07
Pt: 0.1075 0.1075 0.1075  -0.08
Pt: 0.8925 0.8925 0.8925  -0.08
Pt: 0.0000 0.0000 0.5000  -0.05
Pt: 0.5000 0.0000 0.0000  -0.05
Pt: 0.0000 0.5000 0.0000  -0.05
Pt: 0.3126 0.6874 0.0000  -0.09
Pt: 0.0000 0.3126 0.6874  -0.09
Pt: 0.6874 0.0000 0.3126  -0.09
Pt: 0.6874 0.3126 0.0000  -0.09
Pt: 0.0000 0.6874 0.3126  -0.09
Pt: 0.3126 0.0000 0.6874  -0.09
Pt: 0.6521 0.1628 0.6521  -0.07
Pt: 0.6521 0.6521 0.1628  -0.07
Pt: 0.1628 0.6521 0.6521  -0.07
Pt: 0.8372 0.3479 0.3479  -0.07

Crystal system: trigonal
Calculated total energy, eV per atom: -6.999
Magnetization, μB/atom: 0.324



No. 16
Li3Ho2Tl3 | PBE | optimized geometry

a = 6.3848 Å, b = 8.7623 Å, c = 8.7623 Å
α = 60.00°, β = 90.00°, γ = 90.00°
Fractional coordinates of all 16 atoms:
Li: 0.7500 0.0000 0.2749
Li: 0.7500 0.2749 0.7251
Li: 0.7500 0.7251 0.0000
Li: 0.2500 0.0000 0.7251
Li: 0.2500 0.7251 0.2749
Li: 0.2500 0.2749 0.0000
Ho: 0.0000 0.3333 0.3333
Ho: 0.5000 0.6667 0.6667
Ho: 0.0000 0.6667 0.6667
Ho: 0.5000 0.3333 0.3333
Tl: 0.7500 0.0000 0.6257
Tl: 0.7500 0.6257 0.3743
Tl: 0.7500 0.3743 0.0000
Tl: 0.2500 0.0000 0.3743
Tl: 0.2500 0.3743 0.6257
Tl: 0.2500 0.6257 0.0000

Crystal system: hexagonal
Calculated total energy, eV per atom: -2.926
Magnetization, μB/atom: 0.000



No. 17
ScCu2Pd | PBE | optimized geometry

a = 4.4024 Å, b = 4.4024 Å, c = 4.4024 Å
α = 60.00°, β = 60.00°, γ = 60.00°
Fractional coordinates of all 4 atoms:
Sc: 0.0000 0.0000 0.0000
Cu: 0.2500 0.2500 0.2500
Cu: 0.7500 0.7500 0.7500
Pd: 0.5000 0.5000 0.5000

Crystal system: cubic
Calculated total energy, eV per atom: -5.303
Magnetization, μB/atom: 0.000



No. 18
Pm14TmMg | PBE | optimized geometry

a = 7.2158 Å, b = 7.2158 Å, c = 10.2492 Å
α = 90.00°, β = 90.00°, γ = 90.01°
Fractional coordinates of all 16 atoms:
Pm: 0.3753 0.6247 0.5000
Pm: 0.8750 0.1250 0.5000
Pm: 0.8757 0.6262 0.0000
Pm: 0.8747 0.6244 0.5000
Pm: 0.3738 0.1243 0.0000
Pm: 0.3756 0.1253 0.5000
Pm: 0.6247 0.8746 0.7532
Pm: 0.6247 0.8746 0.2468
Pm: 0.1254 0.3753 0.7532
Pm: 0.1254 0.3753 0.2468
Pm: 0.1254 0.8746 0.7525
Pm: 0.1254 0.8746 0.2475
Pm: 0.6248 0.3752 0.7539
Pm: 0.6248 0.3752 0.2461
Tm: 0.3751 0.6249 0.0000
Mg: 0.8742 0.1258 0.0000

Crystal system: orthorhombic
Calculated total energy, eV per atom: -4.526
Magnetization, μB/atom: 0.000



No. 19
In3Pd2 | PBE | optimized geometry

a = 6.2797 Å, b = 6.2797 Å, c = 7.5986 Å
α = 65.59°, β = 65.59°, γ = 60.00°
Fractional coordinates of all 10 atoms:
Pd: 0.8262 0.8262 0.5214
Pd: 0.3262 0.3262 0.0214
Pd: 0.1738 0.1738 0.4786
Pd: 0.6738 0.6738 0.9786
In: 0.1140 0.7500 0.7500
In: 0.7500 0.3860 0.7500
In: 0.3860 0.1140 0.7500
In: 0.2500 0.6140 0.2500
In: 0.6140 0.8860 0.2500
In: 0.8860 0.2500 0.2500

Crystal system: trigonal
Calculated total energy, eV per atom: -4.035
Magnetization, μB/atom: 0.000



No. 20
SrCu2Au10 | PBE | optimized geometry

a = 5.4425 Å, b = 7.2701 Å, c = 7.2449 Å
α = 81.92°, β = 67.94°, γ = 68.02°
Fractional coordinates of all 13 atoms:
Sr: 0.0000 0.0000 0.0000
Cu: 0.0000 0.5000 0.0000
Cu: 0.5000 0.5000 0.0000
Au: 0.3457 0.6408 0.6677
Au: 0.6543 0.3592 0.3323
Au: 0.9865 0.3592 0.6677
Au: 0.0135 0.6408 0.3323
Au: 0.0000 0.0000 0.5000
Au: 0.5000 0.0000 0.5000
Au: 0.2799 0.2293 0.2109
Au: 0.7201 0.7707 0.7891
Au: 0.5092 0.7707 0.2109
Au: 0.4908 0.2293 0.7891

Crystal system: orthorhombic
Calculated total energy, eV per atom: -3.487
Magnetization, μB/atom: 0.000